First-principles (PBEsol) data for an optimized crystal structure of CdSeCl2, as listed in the Alexandria database.

a b c (Å): 10.473 10.473 10.473
angles (deg): 19.03 19.03 19.03
Positions (direct):
Cd: 0.000 0.000 0.000
Se: 0.500 0.500 0.500
Cl: 0.280 0.280 0.280
Cl: 0.720 0.720 0.720

Results
* ΔE to the lowest computed polymorph: 0 meV/atom
* symmetry: R-3m, No. 166

---

First-principles (PBEsol) data for an optimized crystal structure of Ba2MnTe, as listed in the Alexandria database.

a b c (Å): 8.980 8.980 8.980
angles (deg): 29.96 29.96 29.96
Positions (direct):
Ba: 0.248 0.248 0.248
Ba: 0.752 0.752 0.752
Mn: 0.000 0.000 0.000
Te: 0.500 0.500 0.500

Results
* symmetry: R-3m, No. 166

---

First-principles (PBEsol) data for an optimized crystal structure of Sc2BiIrW, as listed in the Alexandria database.

a b c (Å): 5.187 5.187 4.852
angles (deg): 90.00 90.00 90.00
Positions (direct):
Sc: 0.000 0.500 0.000
Sc: 0.500 0.000 0.000
Bi: 0.000 0.000 0.000
Ir: 0.000 0.000 0.500
W: 0.500 0.500 0.500

Results
* ΔH_f (0 K): 1.791 eV/atom
* symmetry: P4/mmm, No. 123

---

First-principles (PBEsol) data for an optimized crystal structure of SrTaIr4, as listed in the Alexandria database.

a b c (Å): 5.244 5.244 5.244
angles (deg): 60.00 60.00 60.00
Positions (direct):
Sr: 0.000 0.000 0.000
Ta: 0.250 0.250 0.250
Ir: 0.125 0.625 0.625
Ir: 0.625 0.125 0.625
Ir: 0.625 0.625 0.125
Ir: 0.625 0.625 0.625

Results
* ΔH_f (0 K): -0.035 eV/atom
* symmetry: F-43m, No. 216

---

First-principles (PBEsol) data for an optimized crystal structure of EuTl2Cd, as listed in the Alexandria database.

a b c (Å): 5.255 5.255 5.255
angles (deg): 60.00 60.00 60.00
Positions (direct):
Eu: 0.000 0.000 0.000
Tl: 0.250 0.250 0.250
Tl: 0.750 0.750 0.750
Cd: 0.500 0.500 0.500

Results
* ΔH_f (0 K): -0.320 eV/atom
* symmetry: Fm-3m, No. 225

---

First-principles (PBEsol) data for an optimized crystal structure of KRu2Br, as listed in the Alexandria database.

a b c (Å): 3.702 3.702 8.078
angles (deg): 103.29 103.29 60.04
Positions (direct):
K: 0.000 0.000 0.000
Ru: 0.446 0.446 0.335
Ru: 0.820 0.820 0.457
Br: 0.230 0.230 0.691

Results
* ΔE to the lowest computed polymorph: 0 meV/atom
* symmetry: Cm, No. 8

---

| no. | density (g/cm³) | raw total energy (eV per atom) |
| --- | --- | --- |
| 1 | 4.079 | -2.550 |
| 2 | 4.747 | -4.614 |
| 3 | 8.584 | -6.434 |
| 4 | 16.897 | -8.982 |
| 5 | 10.894 | -4.575 |
| 6 | 5.767 | -5.442 |